No. 1
Below is a relaxed structure of Li2Cd2Br7, with properties calculated at the PBE level.

Results
- space-group type = No. 12
- uncorrected formation energy (meV/atom) = -882

Cell lengths 6.8373, 7.5854, 7.5854 Å; angles 111.44, 92.18, 92.18 degrees
Fractional positions:
Cd 0.8660 0.2912 0.2912
Cd 0.1340 0.7088 0.7088
Br 0.2530 0.4063 0.4063
Br 0.7135 0.4372 0.0503
Br 0.2865 0.5628 0.9497
Br 0.7135 0.0503 0.4372
Br 0.2865 0.9497 0.5628
Br 0.0000 0.0000 0.0000
Br 0.7470 0.5937 0.5937
Li 0.5000 0.2995 0.7005
Li 0.5000 0.7005 0.2995



No. 2
Below is a relaxed structure of Bi3PtSe, with properties calculated at the PBE level.

Results
- space-group type = No. 221
- uncorrected formation energy (meV/atom) = 895
- energy relative to the lowest polymorph listed for this composition (kJ/mol of formula units) = 244.8

Cell lengths 5.4480, 5.4480, 5.4480 Å; angles 90.00, 90.00, 90.00 degrees
Fractional positions:
Pt 0.5000 0.5000 0.5000
Bi 0.0000 0.0000 0.5000
Bi 0.5000 0.0000 0.0000
Bi 0.0000 0.5000 0.0000
Se 0.0000 0.0000 0.0000



No. 3
Below is a relaxed structure of LiScInSn, with properties calculated at the PBE level.

Results
- space-group type = No. 216
- DFT formation energy (eV per atom) = -0.36
- energy relative to the lowest polymorph listed for this composition (kJ/mol of formula units) = 39.3

Cell lengths 4.9801, 4.9801, 4.9801 Å; angles 60.00, 60.00, 60.00 degrees
Fractional positions:
Li 0.5000 0.5000 0.5000
Sn 0.2500 0.2500 0.2500
Sc 0.0000 0.0000 0.0000
In 0.7500 0.7500 0.7500



VASP energy, record by record: -2.461; -3.339; -4.105 eV/atom